[1]
BaN2F: optimized geometry, GGA-PBE.

Cell: 3.5270 3.5270 20.9197 Å, 90.00 90.00 90.00°
Space group I4_1/amd (No. 141, origin choice 2)
Asymmetric unit:
1 Ba 0.0000 0.2500 0.3750 [4 per cell]
2 N 0.0000 0.0000 0.0000 [8 per cell]
3 F 0.0000 0.2500 0.8750 [4 per cell]

DFT total energy	-5.228	eV per atom
excess energy over the best structure of this formula in the dataset	1.4564	eV per atom
formation energy without anion corrections	-2.68	kcal/mol of atoms
V	16.265	A^3/atom

***

[2]
BaNaNF2: optimized geometry, GGA-PBE.

Cell: 5.0511 5.0511 5.4431 Å, 90.00 90.00 90.00°
Space group P4/mmm (No. 123)
Asymmetric unit:
1 Ba 0.0000 0.0000 0.0000 [1 per cell]
2 Na 0.5000 0.5000 0.5000 [1 per cell]
3 N 0.0000 0.0000 0.5000 [1 per cell]
4 F 0.0000 0.5000 0.0000 [2 per cell]

DFT total energy	-4.424	eV per atom
excess energy over the best structure of this formula in the dataset	0.2454	eV per atom
formation energy without anion corrections	-31.40	kcal/mol of atoms
V	27.775	A^3/atom

***

[3]
BaNaNF2: optimized geometry, GGA-PBE.

Cell: 4.2872 4.2872 4.5348 Å, 90.00 90.00 90.00°
Space group P4/mmm (No. 123)
Asymmetric unit:
1 Ba 0.0000 0.0000 0.0000 [1 per cell]
2 Na 0.5000 0.5000 0.5000 [1 per cell]
3 N 0.5000 0.5000 0.0000 [1 per cell]
4 F 0.0000 0.5000 0.5000 [2 per cell]

DFT total energy	-4.669	eV per atom
excess energy over the best structure of this formula in the dataset	0.0000	eV per atom
formation energy without anion corrections	-37.06	kcal/mol of atoms
V	16.670	A^3/atom

***

[4]
BaNbN2F: optimized geometry, GGA-PBE.

Cell: 4.1789 4.1789 4.3431 Å, 90.00 90.00 90.00°
Space group P4/mmm (No. 123)
Asymmetric unit:
1 Ba 0.0000 0.0000 0.0000 [1 per cell]
2 Nb 0.5000 0.5000 0.5000 [1 per cell]
3 N 0.0000 0.5000 0.5000 [2 per cell]
4 F 0.5000 0.5000 0.0000 [1 per cell]

DFT total energy	-7.495	eV per atom
excess energy over the best structure of this formula in the dataset	0.0000	eV per atom
formation energy without anion corrections	-32.10	kcal/mol of atoms
V	15.169	A^3/atom

***

[5]
BaNbN2F: optimized geometry, GGA-PBE.

Cell: 4.6703 4.6703 4.6551 Å, 90.00 90.00 90.00°
Space group P4/mmm (No. 123)
Asymmetric unit:
1 Ba 0.0000 0.0000 0.0000 [1 per cell]
2 Nb 0.5000 0.5000 0.5000 [1 per cell]
3 N 0.0000 0.5000 0.0000 [2 per cell]
4 F 0.0000 0.0000 0.5000 [1 per cell]

DFT total energy	-4.907	eV per atom
excess energy over the best structure of this formula in the dataset	2.5874	eV per atom
formation energy without anion corrections	27.57	kcal/mol of atoms
V	20.307	A^3/atom

***

[6]
Ba3Nb2N5F2: optimized geometry, GGA-PBE.

Cell: 4.0766 4.0766 24.3322 Å, 90.00 90.00 90.00°
Space group I4/mmm (No. 139)
Asymmetric unit:
1 Ba 0.0000 0.0000 0.0000 [2 per cell]
2 Ba 0.0000 0.0000 0.1782 [4 per cell]
3 Nb 0.0000 0.0000 0.4186 [4 per cell]
4 N 0.0000 0.0000 0.5000 [2 per cell]
5 N 0.0000 0.5000 0.0987 [8 per cell]
6 F 0.0000 0.0000 0.2913 [4 per cell]

DFT total energy	-7.504	eV per atom
formation energy without anion corrections	-36.08	kcal/mol of atoms
V	16.849	A^3/atom

***

Copy entry 2 word for word.
BaNaNF2: optimized geometry, GGA-PBE.

Cell: 5.0511 5.0511 5.4431 Å, 90.00 90.00 90.00°
Space group P4/mmm (No. 123)
Asymmetric unit:
1 Ba 0.0000 0.0000 0.0000 [1 per cell]
2 Na 0.5000 0.5000 0.5000 [1 per cell]
3 N 0.0000 0.0000 0.5000 [1 per cell]
4 F 0.0000 0.5000 0.0000 [2 per cell]

DFT total energy	-4.424	eV per atom
excess energy over the best structure of this formula in the dataset	0.2454	eV per atom
formation energy without anion corrections	-31.40	kcal/mol of atoms
V	27.775	A^3/atom

***

Repeat the first record exactly.
BaN2F: optimized geometry, GGA-PBE.

Cell: 3.5270 3.5270 20.9197 Å, 90.00 90.00 90.00°
Space group I4_1/amd (No. 141, origin choice 2)
Asymmetric unit:
1 Ba 0.0000 0.2500 0.3750 [4 per cell]
2 N 0.0000 0.0000 0.0000 [8 per cell]
3 F 0.0000 0.2500 0.8750 [4 per cell]

DFT total energy	-5.228	eV per atom
excess energy over the best structure of this formula in the dataset	1.4564	eV per atom
formation energy without anion corrections	-2.68	kcal/mol of atoms
V	16.265	A^3/atom

***

Look up the formation energy without anion corrections of the fifth one. 27.57 kcal/mol of atoms